[1]
Computed, not measured: a relaxed structure of AcLa2Dy3Te6 at the PBE level of DFT.

POSCAR file:
```
AcLa2Dy3Te6
1.0
9.8601 -2.2197 0.0000
9.8601 2.2197 0.0000
-2.3731 0.0000 8.7892
Ac La Dy Te
1 2 3 6
Cartesian
0.0000 0.0000 0.0000
4.9710 0.0000 5.8530
12.3761 0.0000 2.9362
-1.1866 0.0000 4.3946
6.1975 0.0000 1.4954
11.1496 0.0000 7.2938
1.8005 0.0000 5.2009
3.2402 0.0000 0.6471
9.1715 0.0000 2.3404
8.1757 0.0000 6.4488
14.1069 0.0000 8.1421
15.5467 0.0000 3.5883
```

Computed properties:
**DOS(E_F)**: 6.70 states/eV/cell
**Uncorrected energy**: -5.306 eV per atom
**V**: 32.061 Å³/atom
**Formation energy from raw total energies**: -1.421 eV/atom

[2]
Computed, not measured: a relaxed structure of SrTl2Pd2 at the PBE level of DFT.

POSCAR file:
```
SrTl2Pd2
1.0
7.9623 0.0000 0.0000
0.0000 7.9623 0.0000
0.0000 0.0000 3.6929
Sr Tl Pd
2 4 4
Cartesian
0.0000 0.0000 0.0000
3.9811 3.9811 0.0000
1.2511 2.7301 1.8465
2.7301 6.7112 1.8465
5.2322 1.2511 1.8465
6.7112 5.2322 1.8465
1.0502 5.0313 0.0000
2.9310 1.0502 0.0000
5.0313 6.9121 0.0000
6.9121 2.9310 0.0000
```

Computed properties:
**Energy of formation**: -290 meV per atom
**DOS(E_F)**: 4.96 states/eV/cell
**Uncorrected energy**: -3.650 eV per atom
**V**: 23.412 Å³/atom